No. 1
Li2CaB2: optimized geometry, GGA-PBEsol.

Lattice parameters (Å, degrees): 3.9558 6.3360 6.3360 90.00 90.00 90.00
Fractional coordinates of all 10 atoms:
Ca 0.0000 0.0000 0.0000
Ca 0.0000 0.5000 0.5000
B 0.0000 0.4134 0.9134
B 0.0000 0.9134 0.5866
B 0.0000 0.5866 0.0866
B 0.0000 0.0866 0.4134
Li 0.5000 0.1342 0.6342
Li 0.5000 0.6342 0.8658
Li 0.5000 0.8658 0.3658
Li 0.5000 0.3658 0.1342

Values from the calculation:
Symmetry: P4/mbm, No. 127
Energy of formation, eV per formula unit: 1.98
Calculated total energy, eV per atom: -3.6249

=====

No. 2
LiCa4B3N6: optimized geometry, GGA-PBEsol.

Lattice parameters (Å, degrees): 6.0987 6.0987 6.0987 109.47 109.47 109.47
Fractional coordinates of all 14 atoms:
Li 0.0000 0.0000 0.0000
Ca 0.5000 0.0000 0.0000
Ca 0.0000 0.0000 0.5000
Ca 0.5000 0.5000 0.5000
Ca 0.0000 0.5000 0.0000
B 0.5000 0.0000 0.5000
B 0.0000 0.5000 0.5000
B 0.5000 0.5000 0.0000
N 0.6902 0.6902 0.0000
N 0.3098 0.3098 0.0000
N 0.6902 0.0000 0.6902
N 0.0000 0.6902 0.6902
N 0.0000 0.3098 0.3098
N 0.3098 0.0000 0.3098

Values from the calculation:
Symmetry: Im-3m, No. 229
Calculated total energy, eV per atom: -7.1505

=====

No. 3
CaMgBN2: optimized geometry, GGA-PBEsol.

Lattice parameters (Å, degrees): 4.0251 4.0251 4.1909 90.00 90.00 90.00
Fractional coordinates of all 5 atoms:
Ca 0.5000 0.5000 0.5000
B 0.0000 0.0000 0.5000
Mg 0.0000 0.0000 0.0000
N 0.0000 0.5000 0.0000
N 0.5000 0.0000 0.0000

Values from the calculation:
Symmetry: P4/mmm, No. 123
Calculated total energy, eV per atom: -4.5731

=====

No. 4
Ca2MnSiB: optimized geometry, GGA-PBEsol.

Lattice parameters (Å, degrees): 3.8257 5.3823 5.3823 90.00 90.00 90.00
Fractional coordinates of all 5 atoms:
Ca 0.0000 0.0000 0.5000
Ca 0.0000 0.5000 0.0000
Mn 0.0000 0.0000 0.0000
Si 0.5000 0.5000 0.5000
B 0.5000 0.0000 0.0000

Values from the calculation:
Symmetry: P4/mmm, No. 123
Calculated total energy, eV per atom: -4.6495

=====

No. 5
Ca3BN: optimized geometry, GGA-PBEsol.

Lattice parameters (Å, degrees): 4.6758 4.6758 4.6758 90.00 90.00 90.00
Fractional coordinates of all 5 atoms:
Ca 0.0000 0.5000 0.0000
Ca 0.0000 0.0000 0.5000
Ca 0.5000 0.0000 0.0000
B 0.5000 0.5000 0.5000
N 0.0000 0.0000 0.0000

Values from the calculation:
Symmetry: Pm-3m, No. 221
Calculated total energy, eV per atom: -4.4631

=====

No. 6
Ca5B3N6: optimized geometry, GGA-PBEsol.

Lattice parameters (Å, degrees): 6.3344 6.3344 6.3344 109.47 109.47 109.47
Fractional coordinates of all 14 atoms:
Ca 0.5000 0.0000 0.0000
Ca 0.0000 0.5000 0.0000
Ca 0.0000 0.0000 0.5000
Ca 0.5000 0.5000 0.5000
Ca 0.0000 0.0000 0.0000
B 0.0000 0.5000 0.5000
B 0.5000 0.0000 0.5000
B 0.5000 0.5000 0.0000
N 0.0000 0.3159 0.3159
N 0.0000 0.6841 0.6841
N 0.6841 0.0000 0.6841
N 0.3159 0.0000 0.3159
N 0.6841 0.6841 0.0000
N 0.3159 0.3159 0.0000

Values from the calculation:
Symmetry: Im-3m, No. 229
Calculated total energy, eV per atom: -7.1058

=====

No. 7
CaBSN2: optimized geometry, GGA-PBEsol.

Lattice parameters (Å, degrees): 3.5035 3.5035 4.6887 90.00 90.00 90.00
Fractional coordinates of all 5 atoms:
Ca 0.5000 0.5000 0.5000
B 0.0000 0.0000 0.0000
S 0.0000 0.0000 0.5000
N 0.0000 0.5000 0.0000
N 0.5000 0.0000 0.0000

Values from the calculation:
Symmetry: P4/mmm, No. 123
Calculated total energy, eV per atom: -5.6433

=====

No. 8
CaBSeN2: optimized geometry, GGA-PBEsol.

Lattice parameters (Å, degrees): 3.6550 3.6550 4.6704 90.00 90.00 90.00
Fractional coordinates of all 5 atoms:
Ca 0.5000 0.5000 0.5000
B 0.0000 0.0000 0.0000
Se 0.0000 0.0000 0.5000
N 0.0000 0.5000 0.0000
N 0.5000 0.0000 0.0000

Values from the calculation:
Symmetry: P4/mmm, No. 123
Calculated total energy, eV per atom: -5.3164

=====

No. 9
NaCa4B3O9: optimized geometry, GGA-PBEsol.

Lattice parameters (Å, degrees): 6.4500 6.4531 10.6364 90.00 90.00 119.98
Fractional coordinates of all 34 atoms:
Na 0.5363 0.1468 0.7500
Na 0.3895 0.8532 0.2500
Ca 0.1778 0.5719 0.5281
Ca 0.6060 0.4281 0.4719
Ca 0.1778 0.5719 0.9719
Ca 0.6060 0.4281 0.0281
Ca 0.0320 0.0000 0.5000
Ca 0.0320 0.0000 0.0000
Ca 0.6082 0.6985 0.7500
Ca 0.9097 0.3015 0.2500
B 0.1658 0.2434 0.7500
B 0.9225 0.7566 0.2500
B 0.0136 0.6571 0.7500
B 0.3565 0.3429 0.2500
B 0.6081 0.0000 0.5000
B 0.6081 0.0000 0.0000
O 0.2515 0.7198 0.7500
O 0.5317 0.2802 0.2500
O 0.3950 0.0000 0.5000
O 0.3950 0.0000 0.0000
O 0.6095 0.7911 0.5282
O 0.8184 0.2089 0.4718
O 0.6095 0.7911 0.9718
O 0.8184 0.2089 0.0282
O 0.2995 0.3221 0.6383
O 0.9775 0.6779 0.3617
O 0.2995 0.3221 0.8617
O 0.9775 0.6779 0.1383
O 0.8887 0.6209 0.6379
O 0.2678 0.3791 0.3621
O 0.8887 0.6209 0.8621
O 0.2678 0.3791 0.1379
O 0.9240 0.0903 0.7500
O 0.8337 0.9097 0.2500

Values from the calculation:
Symmetry: Ama2, No. 40
Calculated total energy, eV per atom: -7.4156

=====

No. 10
CaNb2B: optimized geometry, GGA-PBEsol.

Lattice parameters (Å, degrees): 5.5175 5.5175 7.4848 111.63 111.63 90.00
Fractional coordinates of all 8 atoms:
Nb 0.6250 0.3750 0.7500
Nb 0.1250 0.3750 0.7500
Nb 0.6250 0.8750 0.2500
Nb 0.6250 0.3750 0.2500
B 0.5000 0.5000 0.0000
B 0.7500 0.2500 0.5000
Ca 0.0000 0.0000 0.0000
Ca 0.2500 0.7500 0.5000

Values from the calculation:
Symmetry: I4_1/amd, No. 141
Energy of formation, eV per formula unit: 4.18
Calculated total energy, eV per atom: -6.6522

=====

No. 11
CaNbBP2: optimized geometry, GGA-PBEsol.

Lattice parameters (Å, degrees): 4.8866 4.8845 4.8845 90.00 90.00 90.00
Fractional coordinates of all 5 atoms:
P 0.0000 0.0000 0.5000
P 0.0000 0.5000 0.0000
Nb 0.5000 0.0000 0.0000
B 0.5000 0.5000 0.5000
Ca 0.0000 0.0000 0.0000

Values from the calculation:
Symmetry: P4/mmm, No. 123
Energy of formation, eV per formula unit: 12.41
Calculated total energy, eV per atom: -3.8280

=====

No. 12
Ca5Ni15B4: optimized geometry, GGA-PBEsol.

Lattice parameters (Å, degrees): 5.0094 5.0094 27.5099 90.00 90.00 120.00
Fractional coordinates of all 48 atoms:
Ca 0.6667 0.3333 0.7500
Ca 0.3333 0.6667 0.2500
Ca 0.3333 0.6667 0.0186
Ca 0.6667 0.3333 0.5186
Ca 0.6667 0.3333 0.9814
Ca 0.3333 0.6667 0.4814
Ca 0.3333 0.6667 0.1311
Ca 0.6667 0.3333 0.6311
Ca 0.6667 0.3333 0.8689
Ca 0.3333 0.6667 0.3689
Ni 0.8327 0.1673 0.3221
Ni 0.6654 0.8327 0.6779
Ni 0.1673 0.8327 0.6779
Ni 0.6654 0.8327 0.8221
Ni 0.1673 0.3346 0.6779
Ni 0.8327 0.6654 0.1779
Ni 0.3346 0.1673 0.1779
Ni 0.8327 0.1673 0.1779
Ni 0.3333 0.6667 0.7500
Ni 0.6667 0.3333 0.2500
Ni 0.0000 0.0000 0.2500
Ni 0.0000 0.0000 0.7500
Ni 0.8327 0.6654 0.3221
Ni 0.1673 0.3346 0.8221
Ni 0.1673 0.8327 0.8221
Ni 0.3346 0.1673 0.3221
Ni 0.8357 0.1643 0.0773
Ni 0.3285 0.1643 0.0773
Ni 0.8357 0.6715 0.0773
Ni 0.1643 0.3285 0.5773
Ni 0.6715 0.8357 0.9227
Ni 0.1643 0.8357 0.5773
Ni 0.6715 0.8357 0.5773
Ni 0.8357 0.1643 0.4227
Ni 0.8357 0.6715 0.4227
Ni 0.1643 0.3285 0.9227
Ni 0.1643 0.8357 0.9227
Ni 0.3285 0.1643 0.4227
Ni 0.0000 0.0000 0.0000
Ni 0.0000 0.0000 0.5000
B 0.0000 0.0000 0.1282
B 0.0000 0.0000 0.6282
B 0.0000 0.0000 0.8718
B 0.0000 0.0000 0.3718
B 0.3333 0.6667 0.6267
B 0.6667 0.3333 0.1267
B 0.6667 0.3333 0.3733
B 0.3333 0.6667 0.8733

Values from the calculation:
Symmetry: P6_3/mmc, No. 194
Energy of formation, eV per formula unit: -8.10
Calculated total energy, eV per atom: -5.7996

=====

No. 13
CaNi4B: optimized geometry, GGA-PBEsol.

Lattice parameters (Å, degrees): 4.9611 4.9611 6.7644 90.00 90.00 120.00
Fractional coordinates of all 12 atoms:
Ca 0.0000 0.0000 0.5000
Ca 0.0000 0.0000 0.0000
Ni 0.5000 0.5000 0.2065
Ni 0.5000 0.0000 0.2065
Ni 0.3333 0.6667 0.5000
Ni 0.6667 0.3333 0.5000
Ni 0.0000 0.5000 0.2065
Ni 0.5000 0.0000 0.7935
Ni 0.5000 0.5000 0.7935
Ni 0.0000 0.5000 0.7935
B 0.6667 0.3333 0.0000
B 0.3333 0.6667 0.0000

Values from the calculation:
Symmetry: P6/mmm, No. 191
Energy of formation, eV per formula unit: -1.90
Calculated total energy, eV per atom: -5.9472

=====

No. 14
CaNi12B6: optimized geometry, GGA-PBEsol.

Lattice parameters (Å, degrees): 5.9523 5.9523 5.9523 104.44 104.44 104.44
Fractional coordinates of all 19 atoms:
Ca 0.0000 0.0000 0.0000
Ni 0.8695 0.1305 0.5000
Ni 0.4546 0.1862 0.4546
Ni 0.4546 0.4546 0.1862
Ni 0.8138 0.5454 0.5454
Ni 0.5454 0.5454 0.8138
Ni 0.5454 0.8138 0.5454
Ni 0.5000 0.8695 0.1305
Ni 0.1305 0.5000 0.8695
Ni 0.1305 0.8695 0.5000
Ni 0.5000 0.1305 0.8695
Ni 0.8695 0.5000 0.1305
Ni 0.1862 0.4546 0.4546
B 0.7632 0.3307 0.7632
B 0.7632 0.7632 0.3307
B 0.3307 0.7632 0.7632
B 0.2368 0.2368 0.6693
B 0.2368 0.6693 0.2368
B 0.6693 0.2368 0.2368

Values from the calculation:
Symmetry: R-3m, No. 166
Energy of formation, eV per formula unit: -7.68
Calculated total energy, eV per atom: -6.6214

=====

No. 15
Ca2Ni21B6: optimized geometry, GGA-PBEsol.

Lattice parameters (Å, degrees): 7.4354 7.4354 7.4354 60.00 60.00 60.00
Fractional coordinates of all 29 atoms:
Ca 0.7500 0.7500 0.7500
Ca 0.2500 0.2500 0.2500
Ni 0.6644 0.3356 0.0000
Ni 0.0000 0.3356 0.0000
Ni 0.0000 0.3356 0.6644
Ni 0.0000 0.0000 0.3356
Ni 0.6644 0.0000 0.3356
Ni 0.0000 0.6644 0.3356
Ni 0.0000 0.0000 0.6644
Ni 0.0000 0.6644 0.0000
Ni 0.6644 0.0000 0.0000
Ni 0.3356 0.6644 0.0000
Ni 0.3356 0.0000 0.6644
Ni 0.3356 0.0000 0.0000
Ni 0.6126 0.1622 0.6126
Ni 0.6126 0.6126 0.1622
Ni 0.6126 0.6126 0.6126
Ni 0.1622 0.6126 0.6126
Ni 0.3874 0.8378 0.3874
Ni 0.3874 0.3874 0.8378
Ni 0.3874 0.3874 0.3874
Ni 0.8378 0.3874 0.3874
Ni 0.0000 0.0000 0.0000
B 0.2717 0.2717 0.7283
B 0.7283 0.2717 0.7283
B 0.7283 0.2717 0.2717
B 0.7283 0.7283 0.2717
B 0.2717 0.7283 0.2717
B 0.2717 0.7283 0.7283

Values from the calculation:
Symmetry: Fm-3m, No. 225
Energy of formation, eV per formula unit: -8.07
Calculated total energy, eV per atom: -6.3360

=====

No. 16
Ca2TiNiB: optimized geometry, GGA-PBEsol.

Lattice parameters (Å, degrees): 4.0885 5.5271 5.5271 90.00 90.00 90.00
Fractional coordinates of all 5 atoms:
Ni 0.5000 0.0000 0.0000
Ca 0.0000 0.0000 0.5000
Ca 0.0000 0.5000 0.0000
B 0.5000 0.5000 0.5000
Ti 0.0000 0.0000 0.0000

Values from the calculation:
Symmetry: P4/mmm, No. 123
Energy of formation, eV per formula unit: 7.23
Calculated total energy, eV per atom: -3.7073

=====

No. 17
CaB2O4: optimized geometry, GGA-PBEsol.

Lattice parameters (Å, degrees): 5.0086 8.3445 13.8288 90.00 90.00 90.00
Fractional coordinates of all 56 atoms:
Ca 0.6211 0.3841 0.3558
Ca 0.6211 0.1159 0.1442
Ca 0.8789 0.8841 0.6442
Ca 0.8789 0.6159 0.8558
Ca 0.3789 0.6159 0.6442
Ca 0.3789 0.8841 0.8558
Ca 0.1211 0.1159 0.3558
Ca 0.1211 0.3841 0.1442
B 0.8712 0.7457 0.4508
B 0.8712 0.7543 0.0492
B 0.6288 0.2457 0.5492
B 0.6288 0.2543 0.9508
B 0.1288 0.2543 0.5492
B 0.1288 0.2457 0.9508
B 0.3712 0.7543 0.4508
B 0.3712 0.7457 0.0492
B 0.6253 0.5356 0.1369
B 0.6253 0.9644 0.3631
B 0.8747 0.0356 0.8631
B 0.8747 0.4644 0.6369
B 0.3747 0.4644 0.8631
B 0.3747 0.0356 0.6369
B 0.1253 0.9644 0.1369
B 0.1253 0.5356 0.3631
O 0.3599 0.8900 0.1123
O 0.3599 0.6100 0.3877
O 0.1401 0.3900 0.8877
O 0.1401 0.1100 0.6123
O 0.6401 0.1100 0.8877
O 0.6401 0.3900 0.6123
O 0.8599 0.6100 0.1123
O 0.8599 0.8900 0.3877
O 0.6289 0.3935 0.1864
O 0.6289 0.1065 0.3136
O 0.8711 0.8935 0.8136
O 0.8711 0.6065 0.6864
O 0.3711 0.6065 0.8136
O 0.3711 0.8935 0.6864
O 0.1289 0.1065 0.1864
O 0.1289 0.3935 0.3136
O 0.1214 0.7418 0.9897
O 0.1214 0.7582 0.5103
O 0.3786 0.2418 0.0103
O 0.3786 0.2582 0.4897
O 0.8786 0.2582 0.0103
O 0.8786 0.2418 0.4897
O 0.6214 0.7582 0.9897
O 0.6214 0.7418 0.5103
O 0.3856 0.6005 0.1090
O 0.3856 0.8995 0.3910
O 0.1144 0.1005 0.8910
O 0.1144 0.3995 0.6090
O 0.6144 0.3995 0.8910
O 0.6144 0.1005 0.6090
O 0.8856 0.8995 0.1090
O 0.8856 0.6005 0.3910

Values from the calculation:
Symmetry: Pccn, No. 56
Calculated total energy, eV per atom: -8.0821
E above lowest polymorph, meV/atom: 0